No. 1
Entry from Alexandria: crystalline PmTl2Pt at its relaxed geometry (PBE-GGA).

Lattice parameters (Å, degrees): 4.418 4.418 5.028 90.00 90.00 90.00
Atoms (fractional coordinates):
Pm1 0.000 0.000 0.000
Tl1 0.000 0.500 0.500
Tl2 0.500 0.000 0.500
Pt1 0.500 0.500 0.000

The polymorph energy (0 for the lowest one) comes out at 0 meV/atom. The formation energy is -0.38 eV per atom. As for the space-group type: P4/mmm. As for the total energy: -4.265 eV per atom. The crystal system is tetragonal.

No. 2
Entry from Alexandria: crystalline Tl2ZnTe at its relaxed geometry (PBE-GGA).

Lattice parameters (Å, degrees): 4.997 4.997 4.746 90.00 90.00 90.00
Atoms (fractional coordinates):
Tl1 0.000 0.500 0.000
Tl2 0.500 0.000 0.000
Zn1 0.000 0.000 0.500
Te1 0.500 0.500 0.500

The calculation puts the uncorrected formation energy at -0.02 eV per atom. The polymorph energy (0 for the lowest one) comes out at 63 meV/atom. As for the space-group type: P4/mmm. As for the total energy: -2.308 eV per atom. The crystal system is tetragonal.